Below is crystalline BaTlPb3 at its relaxed geometry, with properties calculated at the GGA-PBE level.

Cell and atoms, written as CIF:
```
data_BaTlPb3
_cell_length_a 6.351
_cell_length_b 6.351
_cell_length_c 6.351
_cell_angle_alpha 90.00
_cell_angle_beta 90.00
_cell_angle_gamma 90.00
_symmetry_space_group_name_H-M 'P m -3 m'
_symmetry_Int_Tables_number 221
_symmetry_space_group_name_Hall '-P 4 2 3'
loop_
_atom_site_label
_atom_site_fract_x
_atom_site_fract_y
_atom_site_fract_z
Ba1 0.000 0.000 0.000
Tl1 0.500 0.500 0.500
Pb1 0.000 0.000 0.500
```

Calculated values
formation energy	66.3	kJ per mole of atoms
uncorrected energy	-11.976	eV/f.u.
energy above the most stable polymorph in this dataset	922	meV/atom
density	6.246	g cm⁻³
crystal system	cubic